TbEuInPt | Alexandria | GGA-PBE | relaxed; magnetization = 6.97 μB/f.u.; DFT total energy = -0.2413 hartree per atom; energy of formation = -0.6441 eV/atom
1.0
-1.537 -4.905 -0.911
3.465 -3.571 -1.578
1.453 -3.833 3.232
Tb Pt In Eu
1 1 1 1
Direct
0.750 0.750 0.750
0.500 0.500 0.500
0.000 0.000 0.000
0.250 0.250 0.250

***

SrTm3Co | Alexandria | GGA-PBE | relaxed; magnetization = 0.00 μB/f.u.; DFT total energy = -0.1650 hartree per atom; energy of formation = -0.0486 eV/atom
1.0
5.314 0.000 0.000
0.000 5.314 0.000
0.000 0.000 5.314
Co Tm Sr
1 3 1
Direct
0.000 0.000 0.000
0.000 0.500 0.000
0.500 0.000 0.000
0.000 0.000 0.500
0.500 0.500 0.500

***

Q: Which of these has the highest DFT total energy?
A: SrTm3Co